This record from Alexandria describes a geometry-optimized DyHo2Er4Sc structure. The functional is PBE.

Lattice parameters (Å, degrees): 4.9281 4.9281 9.8573 90.00 90.00 90.00
With the nearest neighbours (Å) after each atom.
Space group P4/mmm (No. 123)
Inequivalent atoms, fractional coordinates:
1 Dy 0.0000 0.0000 0.0000  4 Ho 3.48, 8 Er 3.52
2 Ho 0.0000 0.0000 0.5000  8 Er 3.45, 4 Sc 3.48
3 Ho 0.5000 0.5000 0.0000  4 Dy 3.48, 8 Er 3.52
4 Er 0.0000 0.5000 0.2546  4 Ho 3.45-3.52, 2 Sc 3.45, 4 Er 3.48, 2 Dy 3.52
5 Sc 0.5000 0.5000 0.5000  8 Er 3.45, 4 Ho 3.48

**ΔE_f**: 0.033 eV per atom
**Calculated total energy**: -4.759 eV/atom
**Crystal system**: tetragonal
**Fermi-level density of states**: 1.48 states/eV/atom